A plane-wave DFT calculation with GGA-PBE was carried out for a relaxed Li2SmSc crystal.

Unit cell a=3.614 b=3.614 c=7.317 alpha=90.00 beta=90.00 gamma=90.00
Space group P4/mmm (No. 123)
Symmetry-distinct sites (fractional):
Li 0.000 0.000 0.230 (multiplicity 2)
Sm 0.500 0.500 0.500 (multiplicity 1)
Sc 0.500 0.500 0.000 (multiplicity 1)

Energy of formation from the pure elements = 187 meV per atom
Crystal system = tetragonal
E above lowest polymorph = 0.000 eV per atom

=====

A plane-wave DFT calculation with GGA-PBE was carried out for a relaxed K2NiBAu crystal.

Unit cell a=6.025 b=6.025 c=3.750 alpha=90.00 beta=90.00 gamma=90.00
Space group P4/mmm (No. 123)
Symmetry-distinct sites (fractional):
K 0.000 0.500 0.000 (multiplicity 2)
Ni 0.000 0.000 0.500 (multiplicity 1)
B 0.000 0.000 0.000 (multiplicity 1)
Au 0.500 0.500 0.500 (multiplicity 1)

Energy of formation from the pure elements = 430 meV per atom
Crystal system = tetragonal

=====

A plane-wave DFT calculation with GGA-PBE was carried out for a relaxed CsFe2Mo crystal.

Unit cell a=6.661 b=6.661 c=6.661 alpha=90.00 beta=90.00 gamma=90.00
Space group Fm-3m (No. 225)
Symmetry-distinct sites (fractional):
Cs 0.000 0.000 0.000 (multiplicity 4)
Fe 0.250 0.250 0.250 (multiplicity 8)
Mo 0.000 0.000 0.500 (multiplicity 4)

Energy of formation from the pure elements = 1863 meV per atom
Crystal system = cubic

=====

A plane-wave DFT calculation with GGA-PBE was carried out for a relaxed Tb3SmDy2 crystal.

Unit cell a=17.472 b=7.127 c=6.168 alpha=90.00 beta=90.05 gamma=90.00
Space group C2/c (No. 15)
Symmetry-distinct sites (fractional):
Tb 0.000 0.124 0.250 (multiplicity 4)
Tb 0.167 0.375 0.416 (multiplicity 8)
Sm 0.000 0.375 0.750 (multiplicity 4)
Dy 0.167 0.125 0.917 (multiplicity 8)

Energy of formation from the pure elements = 16 meV per atom
Crystal system = monoclinic
E above lowest polymorph = 0.018 eV per atom

=====

A plane-wave DFT calculation with GGA-PBE was carried out for a relaxed Zn2Rh2Br crystal.

Unit cell a=7.082 b=7.082 c=3.240 alpha=90.00 beta=90.00 gamma=90.00
Space group P4/mbm (No. 127)
Symmetry-distinct sites (fractional):
Zn 0.145 0.355 0.000 (multiplicity 4)
Rh 0.149 0.649 0.500 (multiplicity 4)
Br 0.000 0.000 0.500 (multiplicity 2)

Raw formation energy = 16 meV/atom
Crystal system = tetragonal
E above lowest polymorph = 0.000 eV per atom

=====

A plane-wave DFT calculation with GGA-PBE was carried out for a relaxed Y2SiS2 crystal.

Unit cell a=7.712 b=7.712 c=3.479 alpha=90.00 beta=90.00 gamma=90.00
Space group P4/mbm (No. 127)
Symmetry-distinct sites (fractional):
Y 0.166 0.334 0.000 (multiplicity 4)
Si 0.000 0.000 0.500 (multiplicity 2)
S 0.135 0.635 0.500 (multiplicity 4)

Raw formation energy = -1077 meV/atom
Crystal system = tetragonal
E above lowest polymorph = 0.112 eV per atom

=====

A plane-wave DFT calculation with GGA-PBE was carried out for a relaxed Sm2MgCuRh2 crystal.

Unit cell a=5.648 b=14.935 c=5.763 alpha=90.00 beta=90.00 gamma=90.00
Space group Ibam (No. 72)
Symmetry-distinct sites (fractional):
Sm 0.237 0.170 0.000 (multiplicity 8)
Mg 0.000 0.500 0.250 (multiplicity 4)
Cu 0.000 0.000 0.250 (multiplicity 4)
Rh 0.243 0.375 0.000 (multiplicity 8)

Energy of formation from the pure elements = -531 meV per atom
Crystal system = orthorhombic

=====

A plane-wave DFT calculation with GGA-PBE was carried out for a relaxed Cs4Rb2HgAu2 crystal.

Unit cell a=6.749 b=8.937 c=10.595 alpha=113.78 beta=93.33 gamma=103.00
Space group P-1 (No. 2)
Symmetry-distinct sites (fractional):
Cs 0.042 0.023 0.220 (multiplicity 2)
Cs 0.280 0.519 0.853 (multiplicity 2)
Rb 0.357 0.744 0.485 (multiplicity 2)
Hg 0.500 0.000 0.000 (multiplicity 1)
Au 0.488 0.850 0.207 (multiplicity 2)

Energy of formation from the pure elements = -180 meV per atom
Crystal system = triclinic

=====

A plane-wave DFT calculation with GGA-PBE was carried out for a relaxed Cs2In6Pt crystal.

Unit cell a=12.052 b=8.064 c=6.022 alpha=90.00 beta=93.62 gamma=90.00
Space group C2/m (No. 12)
Symmetry-distinct sites (fractional):
Cs 0.123 0.000 0.204 (multiplicity 4)
In 0.098 0.305 0.684 (multiplicity 8)
In 0.192 0.500 0.272 (multiplicity 4)
Pt 0.000 0.500 0.000 (multiplicity 2)

Energy of formation from the pure elements = -138 meV per atom
Crystal system = monoclinic

=====

A plane-wave DFT calculation with GGA-PBE was carried out for a relaxed NaPIr2Rh crystal.

Unit cell a=4.426 b=4.426 c=4.448 alpha=90.00 beta=90.00 gamma=90.00
Space group P4/mmm (No. 123)
Symmetry-distinct sites (fractional):
Na 0.000 0.000 0.000 (multiplicity 1)
P 0.500 0.500 0.500 (multiplicity 1)
Ir 0.000 0.500 0.500 (multiplicity 2)
Rh 0.500 0.500 0.000 (multiplicity 1)

Energy of formation from the pure elements = 176 meV per atom
Crystal system = tetragonal

=====

A plane-wave DFT calculation with GGA-PBE was carried out for a relaxed Pm12Sn6O crystal.

Unit cell a=13.1820 b=13.1820 c=12.3217 alpha=90.00 beta=90.00 gamma=120.00
Space group R-3 (No. 148, hexagonal axes)
Symmetry-distinct sites (fractional):
Pm 0.0367 0.1982 0.3885 (multiplicity 18)
Pm 0.0568 0.1819 0.8797 (multiplicity 18)
Sn 0.0410 0.4321 0.3112 (multiplicity 18)
O 0.0000 0.0000 0.0000 (multiplicity 3)

Raw formation energy = -624 meV/atom
Crystal system = trigonal

=====

A plane-wave DFT calculation with GGA-PBE was carried out for a relaxed DyUTc2 crystal.

Unit cell a=3.3688 b=3.3688 c=24.8824 alpha=90.00 beta=90.00 gamma=120.00
Space group R-3m (No. 166, hexagonal axes)
Symmetry-distinct sites (fractional):
Dy 0.0000 0.0000 0.0000 (multiplicity 3)
U 0.0000 0.0000 0.5000 (multiplicity 3)
Tc 0.0000 0.0000 0.2365 (multiplicity 6)

Energy of formation from the pure elements = 33 meV per atom
Crystal system = trigonal
E above lowest polymorph = 0.191 eV per atom

=====

Asked for ρ across the records above, the calculation gives 3.64, 4.20, 7.65, 8.23, 8.51, 4.33, 8.12, 3.83, 6.54, 10.32, 6.63, 12.15 g/cm³ in order.
Asked for uncorrected energy across the records above, the calculation gives -3.53, -3.16, -5.29, -4.62, -3.77, -6.40, -5.50, -1.54, -2.82, -6.18, -5.15, -9.12 eV/atom in order.